Entry 1:
A plane-wave DFT calculation with PBE-GGA was carried out for a geometry-optimized Y2MgCdH structure.

Structure (CIF):
```
data_Y2MgCdH
_chemical_formula_sum 'Y2 Mg1 Cd1 H1'
_symmetry_space_group_name_H-M 'P 4/m m m'
_symmetry_Int_Tables_number 123
_symmetry_space_group_name_Hall '-P 4 2'
_cell_length_a 4.9294
_cell_length_b 4.9294
_cell_length_c 4.3868
_cell_angle_alpha 90.00
_cell_angle_beta 90.00
_cell_angle_gamma 90.00
loop_
_atom_site_label
_atom_site_fract_x
_atom_site_fract_y
_atom_site_fract_z
_atom_site_occupancy
Y1 0.0000 0.5000 0.0000 1
Mg1 0.0000 0.0000 0.5000 1
Cd1 0.5000 0.5000 0.5000 1
H1 0.5000 0.5000 0.0000 1
```

## Properties
theoretical density: 4.92 g/cm3
E above lowest polymorph: 54 meV per atom
DFT total energy: -3.97 eV per atom


Entry 2:
A plane-wave DFT calculation with PBE-GGA was carried out for a geometry-optimized CeSmCo structure.

Structure (CIF):
```
data_CeSmCo
_chemical_formula_sum 'Ce1 Sm1 Co1'
_symmetry_space_group_name_H-M 'P -6 m 2'
_symmetry_Int_Tables_number 187
_symmetry_space_group_name_Hall 'P -6 2'
_cell_length_a 4.1764
_cell_length_b 4.1764
_cell_length_c 4.8150
_cell_angle_alpha 90.00
_cell_angle_beta 90.00
_cell_angle_gamma 120.00
loop_
_atom_site_label
_atom_site_fract_x
_atom_site_fract_y
_atom_site_fract_z
_atom_site_occupancy
Ce1 0.0000 0.0000 0.0000 1
Sm1 0.3333 0.6667 0.5000 1
Co1 0.6667 0.3333 0.0000 1
```

## Properties
theoretical density: 7.98 g/cm3
E above lowest polymorph: 147 meV per atom
energy of formation: 0.012 eV/atom
DFT total energy: -5.91 eV per atom


- The lowest DFT total energy belongs to which entry?
  CeSmCo


- The highest theoretical density belongs to which entry?
  CeSmCo